Record 1
The following is a PBE-GGA calculation of an optimized crystal structure of Tl8InHg2, from the Alexandria database.

Lattice parameters (Å, degrees): 6.225 9.909 9.909 38.93 65.78 65.78
Element x y z (fractional)
Hg: 0.523 0.171 0.171
Hg: 0.477 0.829 0.829
Tl: 0.105 0.757 0.757
Tl: 0.261 0.820 0.339
Tl: 0.739 0.180 0.661
Tl: 0.739 0.661 0.180
Tl: 0.277 0.377 0.377
Tl: 0.723 0.623 0.623
Tl: 0.261 0.339 0.820
Tl: 0.895 0.243 0.243
In: 0.000 0.000 0.000

Space group: C2/m, No. 12
E above lowest polymorph: 0 kJ/mol of formula units


Record 2
The following is a PBE-GGA calculation of an optimized crystal structure of Tl6In7Hg16, from the Alexandria database.

Lattice parameters (Å, degrees): 10.514 10.515 10.515 60.00 60.00 60.00
Element x y z (fractional)
Tl: 0.797 0.797 0.203
Tl: 0.203 0.797 0.203
Tl: 0.203 0.203 0.797
Tl: 0.203 0.797 0.797
Tl: 0.797 0.203 0.797
Tl: 0.797 0.203 0.203
In: 0.500 0.000 0.000
In: 0.500 0.500 0.500
In: 0.500 0.500 0.000
In: 0.000 0.000 0.500
In: 0.000 0.500 0.500
In: 0.000 0.500 0.000
In: 0.500 0.000 0.500
Hg: 0.620 0.620 0.139
Hg: 0.380 0.861 0.380
Hg: 0.844 0.844 0.468
Hg: 0.156 0.532 0.156
Hg: 0.861 0.380 0.380
Hg: 0.844 0.468 0.844
Hg: 0.844 0.844 0.844
Hg: 0.380 0.380 0.861
Hg: 0.380 0.380 0.380
Hg: 0.156 0.156 0.532
Hg: 0.156 0.156 0.156
Hg: 0.468 0.844 0.844
Hg: 0.532 0.156 0.156
Hg: 0.139 0.620 0.620
Hg: 0.620 0.139 0.620
Hg: 0.620 0.620 0.620

Space group: Fm-3m, No. 225


Record 3
The following is a PBE-GGA calculation of an optimized crystal structure of TlIn6Hg3, from the Alexandria database.

Lattice parameters (Å, degrees): 4.770 13.824 15.235 147.21 90.00 90.00
Element x y z (fractional)
Tl: 0.750 0.920 0.651
Tl: 0.250 0.080 0.349
In: 0.750 0.715 0.046
In: 0.750 0.813 0.828
In: 0.250 0.575 0.354
In: 0.250 0.957 0.531
In: 0.750 0.043 0.469
In: 0.250 0.285 0.954
In: 0.750 0.425 0.646
In: 0.250 0.378 0.760
In: 0.750 0.622 0.240
In: 0.750 0.248 0.074
In: 0.250 0.187 0.172
In: 0.250 0.752 0.926
Hg: 0.250 0.477 0.550
Hg: 0.750 0.319 0.849
Hg: 0.750 0.523 0.450
Hg: 0.750 0.080 0.206
Hg: 0.250 0.920 0.794
Hg: 0.250 0.681 0.151

Space group: P2_1/m, No. 11
E above lowest polymorph: 0 kJ/mol of formula units


Record 4
The following is a PBE-GGA calculation of an optimized crystal structure of Tl2In9Hg4, from the Alexandria database.

Lattice parameters (Å, degrees): 5.009 5.009 19.678 90.00 90.00 120.00
Element x y z (fractional)
Hg: 0.333 0.667 0.105
Hg: 0.333 0.667 0.361
Hg: 0.667 0.333 0.895
Hg: 0.667 0.333 0.639
In: 0.667 0.333 0.435
In: 0.667 0.333 0.053
In: 0.333 0.667 0.565
In: 0.000 0.000 0.321
In: 0.000 0.000 0.154
In: 0.000 0.000 0.500
In: 0.000 0.000 0.846
In: 0.000 0.000 0.679
In: 0.333 0.667 0.947
Tl: 0.333 0.667 0.762
Tl: 0.667 0.333 0.238

Space group: P-3m1, No. 164


Record 5
The following is a PBE-GGA calculation of an optimized crystal structure of TlInHg, from the Alexandria database.

Lattice parameters (Å, degrees): 4.935 4.935 12.002 90.00 90.00 120.00
Element x y z (fractional)
Hg: 0.667 0.333 0.750
Hg: 0.333 0.667 0.250
Tl: 0.000 0.000 0.000
Tl: 0.000 0.000 0.500
In: 0.000 0.000 0.250
In: 0.000 0.000 0.750

Space group: P6_3/mmc, No. 194


Record 6
The following is a PBE-GGA calculation of an optimized crystal structure of TlIn6Hg, from the Alexandria database.

Lattice parameters (Å, degrees): 3.590 11.078 7.845 134.91 90.00 90.00
Element x y z (fractional)
Hg: 0.000 0.858 0.715
In: 0.000 0.395 0.300
In: 0.500 0.653 0.798
In: 0.000 0.343 0.687
In: 0.500 0.094 0.189
In: 0.500 0.145 0.798
In: 0.000 0.905 0.300
Tl: 0.500 0.606 0.212

Space group: Amm2, No. 38
E above lowest polymorph: 0 kJ/mol of formula units


Record 7
The following is a PBE-GGA calculation of an optimized crystal structure of Tl15In2Hg2, from the Alexandria database.

Lattice parameters (Å, degrees): 8.774 8.774 8.774 75.10 75.10 75.10
Element x y z (fractional)
Tl: 0.000 0.000 0.500
Tl: 0.293 0.000 0.707
Tl: 0.707 0.000 0.293
Tl: 0.596 0.165 0.596
Tl: 0.165 0.596 0.596
Tl: 0.000 0.293 0.707
Tl: 0.404 0.404 0.835
Tl: 0.293 0.707 0.000
Tl: 0.000 0.500 0.000
Tl: 0.404 0.835 0.404
Tl: 0.835 0.404 0.404
Tl: 0.500 0.000 0.000
Tl: 0.000 0.707 0.293
Tl: 0.707 0.293 0.000
Tl: 0.596 0.596 0.165
Hg: 0.103 0.103 0.103
Hg: 0.897 0.897 0.897
In: 0.283 0.283 0.283
In: 0.717 0.717 0.717

Space group: R-3m, No. 166


Record 8
The following is a PBE-GGA calculation of an optimized crystal structure of Tl2In9Hg3, from the Alexandria database.

Lattice parameters (Å, degrees): 9.720 9.720 11.539 86.26 115.70 124.23
Element x y z (fractional)
In: 0.907 0.840 0.626
In: 0.599 0.413 0.078
In: 0.850 0.100 0.750
In: 0.579 0.213 0.555
In: 0.361 0.301 0.236
In: 0.841 0.976 0.055
In: 0.714 0.281 0.874
In: 0.835 0.521 0.422
In: 0.639 0.699 0.764
In: 0.159 0.024 0.945
In: 0.435 0.875 0.736
In: 0.165 0.479 0.578
In: 0.565 0.125 0.264
In: 0.093 0.160 0.374
In: 0.150 0.900 0.250
In: 0.286 0.719 0.126
In: 0.421 0.787 0.445
In: 0.401 0.587 0.922
Hg: 0.165 0.910 0.514
Hg: 0.896 0.651 0.986
Hg: 0.500 0.000 0.000
Hg: 0.835 0.090 0.486
Hg: 0.104 0.349 0.014
Hg: 0.500 0.500 0.500
Tl: 0.022 0.592 0.768
Tl: 0.676 0.746 0.268
Tl: 0.978 0.408 0.232
Tl: 0.324 0.254 0.732

Space group: C2/c, No. 15


Record 9
The following is a PBE-GGA calculation of an optimized crystal structure of Tl2In4Hg3, from the Alexandria database.

Lattice parameters (Å, degrees): 4.178 12.136 12.137 56.36 85.22 85.22
Element x y z (fractional)
Tl: 0.790 0.265 0.508
Tl: 0.290 0.508 0.265
Tl: 0.710 0.492 0.735
Tl: 0.210 0.735 0.492
In: 0.537 0.058 0.829
In: 0.037 0.829 0.058
In: 0.463 0.942 0.171
In: 0.660 0.852 0.615
In: 0.160 0.615 0.852
In: 0.840 0.385 0.148
In: 0.963 0.171 0.942
In: 0.340 0.148 0.385
Hg: 0.106 0.966 0.709
Hg: 0.606 0.709 0.966
Hg: 0.394 0.291 0.034
Hg: 0.894 0.034 0.291
Hg: 0.750 0.631 0.369
Hg: 0.250 0.369 0.631

Space group: C2/c, No. 15
E above lowest polymorph: 9 kJ/mol of formula units


Record 10
The following is a PBE-GGA calculation of an optimized crystal structure of TlInHg, from the Alexandria database.

Lattice parameters (Å, degrees): 6.099 6.099 6.099 147.86 135.64 55.82
Element x y z (fractional)
In: 0.342 0.342 0.000
Tl: 0.664 0.664 0.000
Hg: 0.994 0.994 0.000

Space group: Imm2, No. 44


Record 11
The following is a PBE-GGA calculation of an optimized crystal structure of Tl9In3Hg2, from the Alexandria database.

Lattice parameters (Å, degrees): 5.235 5.235 18.069 98.33 98.33 90.00
Element x y z (fractional)
Hg: 0.956 0.456 0.912
Hg: 0.544 0.044 0.088
In: 0.750 0.250 0.500
In: 0.352 0.852 0.703
In: 0.148 0.648 0.297
Tl: 0.402 0.402 0.803
Tl: 0.500 0.500 0.000
Tl: 0.701 0.701 0.401
Tl: 0.802 0.802 0.603
Tl: 0.299 0.299 0.599
Tl: 0.095 0.095 0.191
Tl: 0.905 0.905 0.809
Tl: 0.198 0.198 0.397
Tl: 0.598 0.598 0.197

Space group: I-4m2, No. 119


Record 12
The following is a PBE-GGA calculation of an optimized crystal structure of TlIn6Hg8, from the Alexandria database.

Lattice parameters (Å, degrees): 8.532 8.532 8.506 59.90 59.90 60.00
Element x y z (fractional)
Hg: 0.126 0.442 0.630
Hg: 0.802 0.126 0.630
Hg: 0.198 0.874 0.370
Hg: 0.442 0.802 0.630
Hg: 0.558 0.198 0.370
Hg: 0.666 0.666 0.003
Hg: 0.334 0.334 0.997
Hg: 0.874 0.558 0.370
In: 0.713 0.409 0.819
In: 0.591 0.941 0.181
In: 0.059 0.713 0.819
In: 0.941 0.287 0.181
In: 0.409 0.059 0.819
In: 0.287 0.591 0.181
Tl: 0.000 0.000 0.000

Space group: R-3, No. 148
E above lowest polymorph: 0 kJ/mol of formula units


Record 13
The following is a PBE-GGA calculation of an optimized crystal structure of Tl2In2Hg3, from the Alexandria database.

Lattice parameters (Å, degrees): 5.095 6.116 6.815 92.69 111.95 90.00
Element x y z (fractional)
Hg: 0.728 0.336 0.455
Hg: 0.272 0.664 0.545
Hg: 0.000 0.500 0.000
Tl: 0.423 0.226 0.845
Tl: 0.577 0.774 0.155
In: 0.859 0.890 0.719
In: 0.141 0.110 0.281

Space group: C2/m, No. 12


Record 14
The following is a PBE-GGA calculation of an optimized crystal structure of Tl2InHg5, from the Alexandria database.

Lattice parameters (Å, degrees): 5.145 5.145 9.129 106.37 106.37 90.00
Element x y z (fractional)
Hg: 0.619 0.119 0.238
Hg: 0.381 0.881 0.762
Hg: 0.881 0.381 0.762
Hg: 0.500 0.500 0.000
Hg: 0.119 0.619 0.238
In: 0.000 0.000 0.000
Tl: 0.752 0.752 0.503
Tl: 0.248 0.248 0.497

Space group: I4/mmm, No. 139
E above lowest polymorph: 0 kJ/mol of formula units


Record 15
The following is a PBE-GGA calculation of an optimized crystal structure of TlInHg2, from the Alexandria database.

Lattice parameters (Å, degrees): 3.490 4.973 6.411 90.00 90.00 90.00
Element x y z (fractional)
Hg: 0.500 0.500 0.258
Hg: 0.000 0.000 0.998
In: 0.000 0.000 0.484
Tl: 0.500 0.500 0.759

Space group: Pmm2, No. 25


Record 16
The following is a PBE-GGA calculation of an optimized crystal structure of TlIn8Hg2, from the Alexandria database.

Lattice parameters (Å, degrees): 4.638 7.947 8.914 110.28 103.56 91.31
Element x y z (fractional)
Hg: 0.776 0.358 0.549
Hg: 0.224 0.642 0.451
In: 0.682 0.915 0.363
In: 0.593 0.465 0.190
In: 0.956 0.273 0.911
In: 0.044 0.727 0.089
In: 0.854 0.801 0.712
In: 0.407 0.535 0.810
In: 0.318 0.085 0.637
In: 0.146 0.199 0.288
Tl: 0.500 0.000 0.000

Space group: P-1, No. 2
E above lowest polymorph: 0 kJ/mol of formula units


Record 17
The following is a PBE-GGA calculation of an optimized crystal structure of Tl12In2Hg, from the Alexandria database.

Lattice parameters (Å, degrees): 6.411 6.411 24.049 90.00 90.00 90.00
Element x y z (fractional)
Tl: 0.747 0.753 0.904
Tl: 0.318 0.818 0.435
Tl: 0.818 0.318 0.565
Tl: 0.682 0.182 0.435
Tl: 0.182 0.318 0.435
Tl: 0.753 0.747 0.096
Tl: 0.500 0.500 0.333
Tl: 0.500 0.500 0.799
Tl: 0.000 0.000 0.333
Tl: 0.247 0.253 0.096
Tl: 0.000 0.000 0.799
Tl: 0.682 0.818 0.565
Tl: 0.818 0.682 0.435
Tl: 0.500 0.500 0.667
Tl: 0.318 0.182 0.565
Tl: 0.000 0.000 0.201
Tl: 0.253 0.753 0.096
Tl: 0.747 0.247 0.096
Tl: 0.247 0.747 0.904
Tl: 0.182 0.682 0.565
Tl: 0.000 0.000 0.667
Tl: 0.253 0.247 0.904
Tl: 0.753 0.253 0.904
Tl: 0.500 0.500 0.201
In: 0.000 0.500 0.269
In: 0.500 0.000 0.269
In: 0.500 0.000 0.731
In: 0.000 0.500 0.731
Hg: 0.000 0.500 0.000
Hg: 0.500 0.000 0.000

Space group: P4/nbm, No. 125


Record 18
The following is a PBE-GGA calculation of an optimized crystal structure of TlIn7Hg2, from the Alexandria database.

Lattice parameters (Å, degrees): 3.297 11.255 11.255 133.45 90.00 90.00
Element x y z (fractional)
In: 0.500 0.670 0.870
In: 0.500 0.130 0.330
In: 0.500 0.870 0.670
In: 0.000 0.664 0.336
In: 0.000 0.336 0.664
In: 0.500 0.330 0.130
In: 0.500 0.500 0.500
Hg: 0.500 0.208 0.792
Hg: 0.500 0.792 0.208
Tl: 0.000 0.000 0.000

Space group: Cmmm, No. 65


Record 19
The following is a PBE-GGA calculation of an optimized crystal structure of Tl3In3Hg2, from the Alexandria database.

Lattice parameters (Å, degrees): 5.121 6.606 15.070 90.00 90.00 112.81
Element x y z (fractional)
Hg: 0.197 0.394 0.385
Hg: 0.803 0.606 0.615
Hg: 0.197 0.394 0.115
Hg: 0.803 0.606 0.885
Tl: 0.651 0.302 0.250
Tl: 0.931 0.862 0.121
Tl: 0.931 0.862 0.379
Tl: 0.069 0.138 0.621
Tl: 0.069 0.138 0.879
Tl: 0.349 0.698 0.750
In: 0.383 0.766 0.250
In: 0.617 0.234 0.750
In: 0.622 0.244 0.475
In: 0.378 0.756 0.975
In: 0.622 0.244 0.025
In: 0.378 0.756 0.525

Space group: Cmcm, No. 63
E above lowest polymorph: 0 kJ/mol of formula units


no.,formation enthalpy at 0 K (eV/atom),Fermi-level density of states (states/eV per cell)
1,0.043,4.79
2,0.009,13.93
3,0.013,6.31
4,0.022,2.16
5,0.303,5.07
6,0.017,3.48
7,0.099,8.70
8,0.031,12.53
9,0.024,7.20
10,0.017,1.30
11,0.103,7.11
12,0.022,3.47
13,0.013,2.21
14,-0.015,2.49
15,0.011,1.81
16,0.020,5.33
17,0.115,12.39
18,0.055,2.76
19,0.018,5.55